Record 1
NbTcS3: relaxed, PBE-GGA.

Cell: 4.5503 4.5503 4.5503 Å, 90.00 90.00 90.00°
Last column: nearest neighbours and their distance in Å.
Positions (direct):
S1 0.0000 0.0000 0.5000  2 Tc 2.28
S2 0.5000 0.0000 0.0000  2 Tc 2.28
S3 0.0000 0.5000 0.0000  2 Tc 2.28
Tc1 0.0000 0.0000 0.0000  6 S 2.28
Nb1 0.5000 0.5000 0.5000  12 S 3.22

Relative energy among the computed polymorphs (eV per atom): 1.213
Formation energy without anion corrections (kJ/mol of formula units): 280.9
Raw total energy (eV per atom): -5.981

=====

Record 2
NbTcS4: relaxed, PBE-GGA.

Cell: 3.2447 7.0780 5.7950 Å, 101.01 90.00 103.24°
Last column: nearest neighbours and their distance in Å.
Positions (direct):
S1 0.0972 0.1946 0.3837  2 Tc 2.46, 1 Nb 2.56
S2 0.6282 0.2567 0.8850  1 Tc 2.41, 2 Nb 2.44
S3 0.4002 0.8004 0.1303  1 Tc 2.51, 2 Nb 2.51
S4 0.8742 0.7483 0.5992  2 Tc 2.39, 1 Nb 2.46
Tc1 0.4949 0.9898 0.5462  6 S 2.39-2.51
Nb1 0.0051 0.0101 0.9555  6 S 2.44-2.56

Relative energy among the computed polymorphs (eV per atom): 0.000
Formation energy without anion corrections (kJ/mol of formula units): -429.0
Raw total energy (eV per atom): -6.899

=====

Record 3
NbTcS3: relaxed, PBE-GGA.

Cell: 4.7903 4.7903 4.7903 Å, 90.00 90.00 90.00°
Last column: nearest neighbours and their distance in Å.
Positions (direct):
Tc1 0.5000 0.5000 0.5000  12 S 3.39
S1 0.5000 0.0000 0.0000  2 Nb 2.40
S2 0.0000 0.5000 0.0000  2 Nb 2.40
S3 0.0000 0.0000 0.5000  2 Nb 2.40
Nb1 0.0000 0.0000 0.0000  6 S 2.40

Relative energy among the computed polymorphs (eV per atom): 0.999
Formation energy without anion corrections (kJ/mol of formula units): 177.9
Raw total energy (eV per atom): -6.195